Th7Mn3 after structural relaxation, computed with PBE-GGA.

E_tot	-7.911	eV per atom
size of the total moment	0.000	μB per atom
energy relative to the elements	0.03	eV/atom
symmetry	P6_3mc (186)

a = 6.2395 Å, b = 9.6736 Å, c = 9.6736 Å
α = 120.00°, β = 90.00°, γ = 90.00°
Fractional coordinates of all 20 atoms:
Th (0.4225, 0.1242, 0.8758)
Th (0.1179, 0.4595, 0.5405)
Th (0.1179, 0.0811, 0.5405)
Th (0.6179, 0.5405, 0.0811)
Th (0.9225, 0.8758, 0.1242)
Th (0.9225, 0.8758, 0.7516)
Th (0.6179, 0.5405, 0.4595)
Th (0.6491, 0.3333, 0.6667)
Th (0.1491, 0.6667, 0.3333)
Th (0.4225, 0.7516, 0.8758)
Th (0.4225, 0.1242, 0.2484)
Th (0.9225, 0.2484, 0.1242)
Th (0.6179, 0.9189, 0.4595)
Th (0.1179, 0.4595, 0.9189)
Mn (0.8792, 0.1831, 0.3662)
Mn (0.3792, 0.3662, 0.1831)
Mn (0.8792, 0.1831, 0.8169)
Mn (0.3792, 0.8169, 0.6338)
Mn (0.3792, 0.8169, 0.1831)
Mn (0.8792, 0.6338, 0.8169)

Th2Mn after structural relaxation, computed with PBE-GGA.

E_tot	-7.831	eV per atom
size of the total moment	0.638	μB per atom
energy relative to the elements	0.17	eV/atom
symmetry	I4/mmm (139)

a = 3.6082 Å, b = 3.6082 Å, c = 6.3372 Å
α = 106.54°, β = 106.54°, γ = 89.99°
Last column: magnetic moment on the atom in μB.
Fractional coordinates of all 3 atoms:
Mn (0.5000, 0.5000, 0.0000)  2.45
Th (0.1483, 0.1483, 0.2959)  -0.20
Th (0.8517, 0.8517, 0.7041)  -0.20

ThMn6 after structural relaxation, computed with PBE-GGA.

E_tot	-8.811	eV per atom
energy relative to the lowest polymorph listed for this composition	0.000	eV/atom
size of the total moment	0.619	μB per atom
energy relative to the elements	0.11	eV/atom
symmetry	Pnma (62)

a = 4.7991 Å, b = 8.1259 Å, c = 10.3093 Å
α = 90.00°, β = 90.00°, γ = 90.00°
Last column: magnetic moment on the atom in μB.
Fractional coordinates of all 28 atoms:
Th (0.2500, 0.7671, 0.0571)  -0.01
Th (0.2500, 0.2671, 0.4429)  -0.01
Th (0.7500, 0.2329, 0.9429)  -0.01
Th (0.7500, 0.7329, 0.5571)  -0.01
Mn (0.0162, 0.9321, 0.3117)  -0.49
Mn (0.2500, 0.5466, 0.6050)  2.29
Mn (0.7500, 0.4534, 0.3950)  2.29
Mn (0.2500, 0.3056, 0.7434)  -1.52
Mn (0.9838, 0.0679, 0.6883)  -0.49
Mn (0.7500, 0.1944, 0.2434)  -1.52
Mn (0.7500, 0.0863, 0.4695)  2.00
Mn (0.7500, 0.8560, 0.8479)  2.54
Mn (0.0162, 0.4321, 0.1883)  -0.49
Mn (0.2500, 0.6440, 0.3479)  2.54
Mn (0.7500, 0.6944, 0.2566)  -1.52
Mn (0.7500, 0.9534, 0.1050)  2.29
Mn (0.2500, 0.4137, 0.9695)  2.00
Mn (0.4838, 0.4321, 0.1883)  -0.49
Mn (0.9838, 0.5679, 0.8117)  -0.49
Mn (0.2500, 0.8056, 0.7566)  -1.52
Mn (0.7500, 0.5863, 0.0305)  2.00
Mn (0.5162, 0.5679, 0.8117)  -0.49
Mn (0.2500, 0.0466, 0.8950)  2.29
Mn (0.2500, 0.9137, 0.5305)  2.00
Mn (0.5162, 0.0679, 0.6883)  -0.49
Mn (0.4838, 0.9321, 0.3117)  -0.49
Mn (0.7500, 0.3560, 0.6521)  2.54
Mn (0.2500, 0.1440, 0.1521)  2.54

Th5Mn2 after structural relaxation, computed with PBE-GGA.

E_tot	-7.882	eV per atom
size of the total moment	0.000	μB per atom
energy relative to the elements	0.04	eV/atom
symmetry	C2/c (15)

a = 6.3059 Å, b = 7.0806 Å, c = 8.8394 Å
α = 93.48°, β = 110.90°, γ = 90.00°
Fractional coordinates of all 14 atoms:
Mn (0.3994, 0.0918, 0.2128)
Mn (0.8134, 0.5918, 0.2128)
Mn (0.6006, 0.9082, 0.7872)
Mn (0.1866, 0.4082, 0.7872)
Th (0.9988, 0.0986, 0.8122)
Th (0.8134, 0.5986, 0.8122)
Th (0.7785, 0.3397, 0.4258)
Th (0.2215, 0.6603, 0.5742)
Th (0.1866, 0.4014, 0.1878)
Th (0.0012, 0.9014, 0.1878)
Th (0.4191, 0.7500, 0.0000)
Th (0.3527, 0.1603, 0.5742)
Th (0.6473, 0.8397, 0.4258)
Th (0.5809, 0.2500, 0.0000)

Th4Mn after structural relaxation, computed with PBE-GGA.

E_tot	-7.559	eV per atom
size of the total moment	0.000	μB per atom
energy relative to the elements	0.21	eV/atom
symmetry	Pm-3m (221)

a = 5.3068 Å, b = 5.3068 Å, c = 5.3068 Å
α = 90.00°, β = 90.00°, γ = 90.00°
Fractional coordinates of all 5 atoms:
Th (0.5000, 0.0000, 0.5000)
Th (0.0000, 0.0000, 0.0000)
Th (0.0000, 0.5000, 0.5000)
Th (0.5000, 0.5000, 0.0000)
Mn (0.5000, 0.5000, 0.5000)

ThMn6 after structural relaxation, computed with PBE-GGA.

E_tot	-8.349	eV per atom
energy relative to the lowest polymorph listed for this composition	0.462	eV/atom
size of the total moment	0.000	μB per atom
energy relative to the elements	0.57	eV/atom
symmetry	Im-3m (229)

a = 5.2763 Å, b = 5.2763 Å, c = 5.2763 Å
α = 109.47°, β = 109.47°, γ = 109.47°
Fractional coordinates of all 7 atoms:
Mn (0.5000, 0.7500, 0.2500)
Mn (0.7500, 0.5000, 0.2500)
Mn (0.7500, 0.2500, 0.5000)
Mn (0.5000, 0.2500, 0.7500)
Mn (0.2500, 0.5000, 0.7500)
Mn (0.2500, 0.7500, 0.5000)
Th (0.0000, 0.0000, 0.0000)

Th2Mn17 after structural relaxation, computed with PBE-GGA.

E_tot	-8.981	eV per atom
size of the total moment	0.306	μB per atom
energy relative to the elements	0.00	eV/atom
symmetry	R-3m (166)

a = 6.3781 Å, b = 6.3781 Å, c = 6.3781 Å
α = 86.18°, β = 86.18°, γ = 86.18°
Last column: magnetic moment on the atom in μB.
Fractional coordinates of all 19 atoms:
Th (0.6471, 0.6471, 0.6471)  -0.07
Th (0.3529, 0.3529, 0.3529)  -0.07
Mn (0.2704, 0.7296, 0.0000)  -0.89
Mn (0.5000, 0.0000, 0.0000)  0.28
Mn (0.0000, 0.5000, 0.0000)  0.28
Mn (0.8734, 0.3537, 0.3537)  2.37
Mn (0.9006, 0.9006, 0.9006)  -1.90
Mn (0.6463, 0.6463, 0.1266)  2.37
Mn (0.0000, 0.0000, 0.5000)  0.28
Mn (0.0000, 0.2704, 0.7296)  -0.89
Mn (0.3537, 0.3537, 0.8734)  2.37
Mn (0.7296, 0.2704, 0.0000)  -0.89
Mn (0.1266, 0.6463, 0.6463)  2.37
Mn (0.3537, 0.8734, 0.3537)  2.37
Mn (0.0000, 0.7296, 0.2704)  -0.89
Mn (0.0994, 0.0994, 0.0994)  -1.90
Mn (0.6463, 0.1266, 0.6463)  2.37
Mn (0.7296, 0.0000, 0.2704)  -0.89
Mn (0.2704, 0.0000, 0.7296)  -0.89

Th6Mn23 after structural relaxation, computed with PBE-GGA.

E_tot	-8.748	eV per atom
size of the total moment	0.686	μB per atom
energy relative to the elements	0.06	eV/atom
symmetry	Fm-3m (225)

a = 8.5830 Å, b = 8.5830 Å, c = 8.5830 Å
α = 60.00°, β = 60.00°, γ = 60.00°
Last column: magnetic moment on the atom in μB.
Fractional coordinates of all 29 atoms:
Mn (0.8824, 0.3528, 0.8824)  2.36
Mn (0.6806, 0.6806, 0.6806)  -1.06
Mn (0.1176, 0.1176, 0.1176)  2.36
Mn (0.0000, 0.5000, 0.5000)  1.96
Mn (0.1176, 0.1176, 0.6472)  2.36
Mn (0.3194, 0.3194, 0.3194)  -1.06
Mn (0.5000, 0.0000, 0.0000)  1.96
Mn (0.1176, 0.6472, 0.1176)  2.36
Mn (0.0418, 0.3194, 0.3194)  -1.06
Mn (0.0000, 0.0000, 0.5000)  1.96
Mn (0.0000, 0.0000, 0.0000)  -2.06
Mn (0.3194, 0.0418, 0.3194)  -1.06
Mn (0.6472, 0.1176, 0.1176)  2.36
Mn (0.3528, 0.8824, 0.8824)  2.36
Mn (0.5000, 0.5000, 0.0000)  1.96
Mn (0.6806, 0.6806, 0.9582)  -1.06
Mn (0.8824, 0.8824, 0.3528)  2.36
Mn (0.9582, 0.6806, 0.6806)  -1.06
Mn (0.0000, 0.5000, 0.0000)  1.96
Mn (0.3194, 0.3194, 0.0418)  -1.06
Mn (0.5000, 0.0000, 0.5000)  1.96
Mn (0.8824, 0.8824, 0.8824)  2.36
Mn (0.6806, 0.9582, 0.6806)  -1.06
Th (0.2920, 0.7080, 0.7080)  -0.03
Th (0.2920, 0.2920, 0.7080)  -0.03
Th (0.2920, 0.7080, 0.2920)  -0.03
Th (0.7080, 0.2920, 0.2920)  -0.03
Th (0.7080, 0.2920, 0.7080)  -0.03
Th (0.7080, 0.7080, 0.2920)  -0.03

ThMn12 after structural relaxation, computed with PBE-GGA.

E_tot	-9.013	eV per atom
size of the total moment	0.199	μB per atom
energy relative to the elements	0.02	eV/atom
symmetry	I4/mmm (139)

a = 6.3760 Å, b = 6.3760 Å, c = 6.3760 Å
α = 97.87°, β = 97.87°, γ = 136.56°
Last column: magnetic moment on the atom in μB.
Fractional coordinates of all 13 atoms:
Mn (0.0000, 0.3672, 0.3672)  0.35
Mn (0.5000, 0.2673, 0.7673)  1.66
Mn (0.5000, 0.7327, 0.2327)  1.66
Mn (0.7327, 0.5000, 0.2327)  1.66
Mn (0.0000, 0.6328, 0.6328)  0.35
Mn (0.3672, 0.0000, 0.3672)  0.35
Mn (0.5000, 0.5000, 0.5000)  -1.39
Mn (0.5000, 0.0000, 0.0000)  -1.39
Mn (0.6328, 0.0000, 0.6328)  0.35
Mn (0.2673, 0.5000, 0.7673)  1.66
Mn (0.0000, 0.0000, 0.5000)  -1.39
Mn (0.0000, 0.5000, 0.0000)  -1.39
Th (0.0000, 0.0000, 0.0000)  0.02

ThTiMn4 after structural relaxation, computed with PBE-GGA.

E_tot	-8.637	eV per atom
size of the total moment	1.113	μB per atom
energy relative to the elements	0.03	eV/atom
symmetry	F-43m (216)

a = 5.0657 Å, b = 5.0657 Å, c = 5.0657 Å
α = 60.00°, β = 60.00°, γ = 60.00°
Last column: magnetic moment on the atom in μB.
Fractional coordinates of all 6 atoms:
Mn (0.6262, 0.1213, 0.6262)  1.93
Mn (0.6262, 0.6262, 0.1213)  1.93
Mn (0.6262, 0.6262, 0.6262)  1.93
Mn (0.1213, 0.6262, 0.6262)  1.93
Th (0.2500, 0.2500, 0.2500)  -0.16
Ti (0.0000, 0.0000, 0.0000)  -0.85

ThTiMn after structural relaxation, computed with PBE-GGA.

E_tot	-8.123	eV per atom
size of the total moment	0.222	μB per atom
energy relative to the elements	0.04	eV/atom
symmetry	Fmmm (69)

a = 5.9902 Å, b = 7.3134 Å, c = 5.9762 Å
α = 90.00°, β = 90.00°, γ = 114.18°
Last column: magnetic moment on the atom in μB.
Fractional coordinates of all 12 atoms:
Th (0.3192, 0.6383, 0.9998)  -0.11
Th (0.1808, 0.3617, 0.4998)  -0.11
Th (0.6808, 0.3617, 0.0002)  -0.11
Th (0.8192, 0.6383, 0.5002)  -0.11
Mn (0.1125, 0.2250, 0.0000)  1.17
Mn (0.8875, 0.7750, 0.0000)  1.17
Mn (0.6125, 0.2250, 0.5000)  1.17
Mn (0.3875, 0.7750, 0.5000)  1.17
Ti (0.7500, 0.9999, 0.2500)  -0.29
Ti (0.7500, 0.0001, 0.7500)  -0.29
Ti (0.2500, 0.0001, 0.7500)  -0.29
Ti (0.2500, 0.9999, 0.2500)  -0.29

Th2TiMn after structural relaxation, computed with PBE-GGA.

E_tot	-7.341	eV per atom
size of the total moment	0.926	μB per atom
energy relative to the elements	0.64	eV/atom
symmetry	R-3m (166)

a = 3.2381 Å, b = 3.2381 Å, c = 11.0221 Å
α = 81.55°, β = 81.55°, γ = 60.00°
Last column: magnetic moment on the atom in μB.
Fractional coordinates of all 4 atoms:
Th (0.0883, 0.0883, 0.7350)  -0.04
Th (0.9117, 0.9117, 0.2650)  -0.04
Mn (0.5000, 0.5000, 0.5000)  3.46
Ti (0.0000, 0.0000, 0.0000)  0.21

> Which formula does entry 11 have?

ThTiMn

> What is the E_tot in the second record?

-7.831 eV per atom

Please write out number 8 again, unchanged.
Th6Mn23 after structural relaxation, computed with PBE-GGA.

E_tot	-8.748	eV per atom
size of the total moment	0.686	μB per atom
energy relative to the elements	0.06	eV/atom
symmetry	Fm-3m (225)

a = 8.5830 Å, b = 8.5830 Å, c = 8.5830 Å
α = 60.00°, β = 60.00°, γ = 60.00°
Last column: magnetic moment on the atom in μB.
Fractional coordinates of all 29 atoms:
Mn (0.8824, 0.3528, 0.8824)  2.36
Mn (0.6806, 0.6806, 0.6806)  -1.06
Mn (0.1176, 0.1176, 0.1176)  2.36
Mn (0.0000, 0.5000, 0.5000)  1.96
Mn (0.1176, 0.1176, 0.6472)  2.36
Mn (0.3194, 0.3194, 0.3194)  -1.06
Mn (0.5000, 0.0000, 0.0000)  1.96
Mn (0.1176, 0.6472, 0.1176)  2.36
Mn (0.0418, 0.3194, 0.3194)  -1.06
Mn (0.0000, 0.0000, 0.5000)  1.96
Mn (0.0000, 0.0000, 0.0000)  -2.06
Mn (0.3194, 0.0418, 0.3194)  -1.06
Mn (0.6472, 0.1176, 0.1176)  2.36
Mn (0.3528, 0.8824, 0.8824)  2.36
Mn (0.5000, 0.5000, 0.0000)  1.96
Mn (0.6806, 0.6806, 0.9582)  -1.06
Mn (0.8824, 0.8824, 0.3528)  2.36
Mn (0.9582, 0.6806, 0.6806)  -1.06
Mn (0.0000, 0.5000, 0.0000)  1.96
Mn (0.3194, 0.3194, 0.0418)  -1.06
Mn (0.5000, 0.0000, 0.5000)  1.96
Mn (0.8824, 0.8824, 0.8824)  2.36
Mn (0.6806, 0.9582, 0.6806)  -1.06
Th (0.2920, 0.7080, 0.7080)  -0.03
Th (0.2920, 0.2920, 0.7080)  -0.03
Th (0.2920, 0.7080, 0.2920)  -0.03
Th (0.7080, 0.2920, 0.2920)  -0.03
Th (0.7080, 0.2920, 0.7080)  -0.03
Th (0.7080, 0.7080, 0.2920)  -0.03

> What is the formula in the fifth record?

Th4Mn